# NaNbHg

Crystalline NaNbHg at its relaxed geometry (GGA-PBE, the Alexandria database).

Summary:
As for the total magnetization: 0.00 μB/cell. The total energy comes out at -3.80 eV per atom. For the density of states at the Fermi level, the calculation gives 4.320 states/eV/cell.

Lattice parameters (Å, degrees): 3.0748 3.0751 15.3572 88.74 88.78 69.15
With the nearest neighbours (Å) after each atom.
Atoms (fractional coordinates):
Na  0.0000  0.0000  0.0000  4 Na 3.07-3.08, 2 Hg 3.16
Na  0.4907  0.4968  0.2072  4 Na 3.07-3.08, 2 Hg 3.15
Nb  0.3627  0.3660  0.5369  2 Nb 2.69
Nb  0.8526  0.8549  0.6704  2 Nb 2.69
Hg  0.4560  0.4575  0.8293  3 Nb 3.06-3.12, 4 Hg 3.07-3.08, 2 Na 3.16
Hg  0.9920  0.9970  0.3780  3 Nb 3.06-3.11, 4 Hg 3.07-3.08, 2 Na 3.15

# Re2HRu

Crystalline Re2HRu at its relaxed geometry (GGA-PBE, the Alexandria database).

Summary:
As for the total magnetization: 0.00 μB/cell. The total energy comes out at -8.48 eV per atom. For the density of states at the Fermi level, the calculation gives 3.122 states/eV/cell.

Lattice parameters (Å, degrees): 4.1864 4.1864 4.1864 60.00 60.00 60.00
With the nearest neighbours (Å) after each atom.
Atoms (fractional coordinates):
Re  0.2500  0.2500  0.2500  4 Ru 2.56, 4 H 2.56
Re  0.7500  0.7500  0.7500  4 Ru 2.56, 4 H 2.56
H  0.0000  0.0000  0.0000  8 Re 2.56
Ru  0.5000  0.5000  0.5000  8 Re 2.56

# Cd2Pb2Au3

Crystalline Cd2Pb2Au3 at its relaxed geometry (GGA-PBE, the Alexandria database).

Summary:
As for the total magnetization: 0.00 μB/cell. The total energy comes out at -2.84 eV per atom. For the density of states at the Fermi level, the calculation gives 2.113 states/eV/cell.

Lattice parameters (Å, degrees): 4.5608 5.9041 7.0452 81.02 72.10 67.31
With the nearest neighbours (Å) after each atom.
Atoms (fractional coordinates):
Cd  0.1335  0.1940  0.0424  5 Au 2.83-2.93
Cd  0.8665  0.8060  0.9576  5 Au 2.83-2.93
Pb  0.1857  0.7174  0.4005  5 Au 2.98-3.23
Pb  0.8143  0.2826  0.5995  5 Au 2.98-3.23
Au  0.4521  0.8870  0.6940  2 Au 2.83-2.88, 3 Cd 2.90-2.93, 2 Pb 3.13-3.14
Au  0.5000  0.5000  0.0000  4 Cd 2.83, 2 Au 2.88, 2 Pb 2.98
Au  0.5479  0.1130  0.3060  2 Au 2.83-2.88, 3 Cd 2.90-2.93, 2 Pb 3.13-3.14

# Tb2NiPt

Crystalline Tb2NiPt at its relaxed geometry (GGA-PBE, the Alexandria database).

Summary:
As for the total magnetization: 0.00 μB/cell. The total energy comes out at -6.06 eV per atom. For the density of states at the Fermi level, the calculation gives 2.878 states/eV/cell.

Lattice parameters (Å, degrees): 4.9190 4.9190 3.4261 90.00 90.00 90.00
With the nearest neighbours (Å) after each atom.
Atoms (fractional coordinates):
Tb  0.0000  0.5000  0.0000  4 Ni 3.00, 4 Pt 3.00
Tb  0.5000  0.0000  0.0000  4 Ni 3.00, 4 Pt 3.00
Ni  0.0000  0.0000  0.5000  8 Tb 3.00
Pt  0.5000  0.5000  0.5000  8 Tb 3.00

# Tb3HoTm6

Crystalline Tb3HoTm6 at its relaxed geometry (GGA-PBE, the Alexandria database).

Summary:
As for the total magnetization: 0.00 μB/cell. The total energy comes out at -4.38 eV per atom. For the density of states at the Fermi level, the calculation gives 29.165 states/eV/cell.

Lattice parameters (Å, degrees): 10.8290 10.8290 6.1137 90.00 90.00 119.66
With the nearest neighbours (Å) after each atom.
Atoms (fractional coordinates):
Tb  0.1085  0.8915  0.5000  5 Tm 3.29-3.54, 1 Ho 3.46, 2 Tb 3.64
Tb  0.2198  0.4374  0.1103  1 Ho 3.24, 6 Tm 3.24-3.57
Tb  0.4374  0.2198  0.6103  1 Ho 3.24, 6 Tm 3.24-3.57
Tb  0.5626  0.7802  0.1103  1 Ho 3.24, 6 Tm 3.24-3.57
Tb  0.7802  0.5626  0.6103  1 Ho 3.24, 6 Tm 3.24-3.57
Tb  0.8915  0.1085  0.0000  5 Tm 3.29-3.54, 1 Ho 3.46, 2 Tb 3.64
Ho  0.2914  0.7086  0.4161  7 Tm 3.23-3.43, 3 Tb 3.24-3.46
Ho  0.7086  0.2914  0.9161  7 Tm 3.23-3.43, 3 Tb 3.24-3.46
Tm  0.0408  0.4621  0.7044  5 Tm 3.22-3.39, 2 Ho 3.23-3.38, 2 Tb 3.24-3.54
Tm  0.1164  0.2119  0.5360  6 Tm 3.36-3.72, 4 Tb 3.36-3.54
Tm  0.2119  0.1164  0.0360  6 Tm 3.36-3.72, 4 Tb 3.36-3.54
Tm  0.2158  0.7842  0.9270  4 Tm 3.22-3.33, 1 Tb 3.29, 2 Ho 3.31-3.43
Tm  0.4519  0.5481  0.6478  1 Ho 3.32, 4 Tb 3.49-3.57, 4 Tm 3.55-3.72
Tm  0.4621  0.0408  0.2044  5 Tm 3.22-3.39, 2 Ho 3.23-3.38, 2 Tb 3.24-3.54
Tm  0.5379  0.9592  0.7044  5 Tm 3.22-3.39, 2 Ho 3.23-3.38, 2 Tb 3.24-3.54
Tm  0.5481  0.4519  0.1478  1 Ho 3.32, 4 Tb 3.49-3.57, 4 Tm 3.55-3.72
Tm  0.7842  0.2158  0.4270  4 Tm 3.22-3.33, 1 Tb 3.29, 2 Ho 3.31-3.43
Tm  0.7881  0.8836  0.5360  6 Tm 3.36-3.72, 4 Tb 3.36-3.54
Tm  0.8836  0.7881  0.0360  6 Tm 3.36-3.72, 4 Tb 3.36-3.54
Tm  0.9592  0.5379  0.2044  5 Tm 3.22-3.39, 2 Ho 3.23-3.38, 2 Tb 3.24-3.54

# PmEr2Sn

Crystalline PmEr2Sn at its relaxed geometry (GGA-PBE, the Alexandria database).

Summary:
As for the total magnetization: 0.00 μB/cell. The total energy comes out at -4.76 eV per atom. For the density of states at the Fermi level, the calculation gives 8.319 states/eV/cell.

Lattice parameters (Å, degrees): 6.9131 6.9131 6.9348 90.00 90.00 134.01
With the nearest neighbours (Å) after each atom.
Atoms (fractional coordinates):
Pm  0.0679  0.9321  0.7500  1 Sn 3.13, 4 Er 3.39
Pm  0.9321  0.0679  0.2500  1 Sn 3.13, 4 Er 3.39
Er  0.3688  0.6312  0.5209  3 Sn 3.07-3.19, 2 Er 3.18-3.35, 2 Pm 3.39
Er  0.3688  0.6312  0.9791  3 Sn 3.07-3.19, 2 Er 3.18-3.35, 2 Pm 3.39
Er  0.6312  0.3688  0.0209  3 Sn 3.07-3.19, 2 Er 3.18-3.35, 2 Pm 3.39
Er  0.6312  0.3688  0.4791  3 Sn 3.07-3.19, 2 Er 3.18-3.35, 2 Pm 3.39
Sn  0.1781  0.8219  0.2500  6 Er 3.07-3.19, 1 Pm 3.13
Sn  0.8219  0.1781  0.7500  6 Er 3.07-3.19, 1 Pm 3.13

# Ac2La5Tm

Crystalline Ac2La5Tm at its relaxed geometry (GGA-PBE, the Alexandria database).

Summary:
As for the total magnetization: 0.00 μB/cell. The total energy comes out at -4.56 eV per atom. For the density of states at the Fermi level, the calculation gives 28.111 states/eV/cell.

Lattice parameters (Å, degrees): 6.2138 6.2138 18.6446 90.00 90.00 122.99
With the nearest neighbours (Å) after each atom.
Atoms (fractional coordinates):
Ac  0.2449  0.7551  0.6480  9 La 3.74-4.12, 1 Ac 3.80, 2 Tm 3.85
Ac  0.2449  0.7551  0.8520  9 La 3.74-4.12, 1 Ac 3.80, 2 Tm 3.85
Ac  0.7551  0.2449  0.1480  9 La 3.74-4.12, 1 Ac 3.80, 2 Tm 3.85
Ac  0.7551  0.2449  0.3520  9 La 3.74-4.12, 1 Ac 3.80, 2 Tm 3.85
La  0.0997  0.9003  0.0616  2 La 3.17-3.35, 1 Tm 3.51
La  0.0997  0.9003  0.4384  2 La 3.17-3.35, 1 Tm 3.51
La  0.4062  0.5938  0.0636  3 La 3.13-3.49
La  0.4062  0.5938  0.4364  3 La 3.13-3.49
La  0.4391  0.5609  0.2500  2 La 3.49, 3 Tm 3.52-3.57
La  0.5609  0.4391  0.7500  2 La 3.49, 3 Tm 3.52-3.57
La  0.5938  0.4062  0.5636  3 La 3.13-3.49
La  0.5938  0.4062  0.9364  3 La 3.13-3.49
La  0.9003  0.0997  0.5616  2 La 3.17-3.35, 1 Tm 3.51
La  0.9003  0.0997  0.9384  2 La 3.17-3.35, 1 Tm 3.51
Tm  0.1121  0.8879  0.2500  5 La 3.51-3.57, 4 Ac 3.85
Tm  0.8879  0.1121  0.7500  5 La 3.51-3.57, 4 Ac 3.85

# UGaTcNi

Crystalline UGaTcNi at its relaxed geometry (GGA-PBE, the Alexandria database).

Summary:
As for the total magnetization: 1.60 μB/cell. The total energy comes out at -7.72 eV per atom. For the density of states at the Fermi level, the calculation gives 5.599 states/eV/cell.

Lattice parameters (Å, degrees): 4.5274 4.5274 4.5274 60.00 60.00 60.00
With the nearest neighbours (Å) after each atom.
Atoms (fractional coordinates):
U  0.0000  0.0000  0.0000  4 Tc 2.77, 4 Ni 2.77
Ga  0.5000  0.5000  0.5000  4 Tc 2.77, 4 Ni 2.77
Tc  0.2500  0.2500  0.2500  4 U 2.77, 4 Ga 2.77
Ni  0.7500  0.7500  0.7500  4 U 2.77, 4 Ga 2.77

# Ta3PdF

Crystalline Ta3PdF at its relaxed geometry (GGA-PBE, the Alexandria database).

Summary:
As for the total magnetization: 0.00 μB/cell. The total energy comes out at -8.35 eV per atom. For the density of states at the Fermi level, the calculation gives 5.017 states/eV/cell. The value obtained for the uncorrected formation energy is 171 meV/atom.

Lattice parameters (Å, degrees): 4.2931 4.2931 4.2931 90.00 90.00 90.00
With the nearest neighbours (Å) after each atom.
Atoms (fractional coordinates):
Ta  0.0000  0.0000  0.5000  2 F 2.15
Ta  0.0000  0.5000  0.0000  2 F 2.15
Ta  0.5000  0.0000  0.0000  2 F 2.15
Pd  0.5000  0.5000  0.5000  12 Ta 3.04
F  0.0000  0.0000  0.0000  6 Ta 2.15

# Ba2DyScSe5

Crystalline Ba2DyScSe5 at its relaxed geometry (GGA-PBE, the Alexandria database).

Summary:
As for the total magnetization: 0.00 μB/cell. The total energy comes out at -5.49 eV per atom. For the density of states at the Fermi level, the calculation gives 0.000 states/eV/cell. The value obtained for the uncorrected formation energy is -1911 meV/atom.

Lattice parameters (Å, degrees): 9.1848 9.1848 13.8900 90.00 90.00 152.39
With the nearest neighbours (Å) after each atom.
Atoms (fractional coordinates):
Ba  0.1065  0.8935  0.5000  6 Se 3.19-3.43
Ba  0.1430  0.8570  0.1207  7 Se 3.26-3.45
Ba  0.8570  0.1430  0.6207  7 Se 3.26-3.45
Ba  0.8935  0.1065  0.0000  6 Se 3.19-3.43
Dy  0.2120  0.7880  0.8312  6 Se 2.87-2.94
Dy  0.7880  0.2120  0.3312  6 Se 2.87-2.94
Sc  0.4717  0.5283  0.2653  5 Se 2.55-2.85
Sc  0.5283  0.4717  0.7653  5 Se 2.55-2.85
Se  0.0515  0.9485  0.8632  2 Sc 2.61, 1 Dy 2.90
Se  0.2836  0.7164  0.4669  2 Dy 2.89, 1 Ba 3.19
Se  0.3226  0.6774  0.1974  1 Sc 2.82, 2 Dy 2.94
Se  0.3724  0.6276  0.8119  1 Sc 2.85, 1 Dy 2.87
Se  0.4898  0.5102  0.5885  1 Sc 2.55
Se  0.5102  0.4898  0.0885  1 Sc 2.55
Se  0.6276  0.3724  0.3119  1 Sc 2.85, 1 Dy 2.87
Se  0.6774  0.3226  0.6974  1 Sc 2.82, 2 Dy 2.94
Se  0.7164  0.2836  0.9669  2 Dy 2.89, 1 Ba 3.19
Se  0.9485  0.0515  0.3632  2 Sc 2.61, 1 Dy 2.90